Record 1
## NdNbSb2 (PBE-GGA)

Data for an optimized crystal structure of NdNbSb2.

**Uncorrected formation energy**: -0.467 eV per atom

Lattice parameters (Å, degrees): 4.2119 4.2119 20.9721 90.00 90.00 120.00
Closest atoms and distances in Å follow each position.
Space group R-3m (No. 166, hexagonal axes)
Unique sites:
Nd 0.0000 0.0000 0.0000 x3  6 Sb 3.14
Nb 0.0000 0.0000 0.5000 x3  6 Sb 2.86
Sb 0.0000 0.0000 0.2387 x6  3 Nb 2.86, 3 Nd 3.14

***

Record 2
## NdScNb (PBE-GGA)

Data for an optimized crystal structure of NdScNb.

**Formation energy**: 1.02 eV/f.u.

Lattice parameters (Å, degrees): 16.1002 3.2437 5.5821 90.00 90.00 90.00
Closest atoms and distances in Å follow each position.
Space group Amm2 (No. 38)
Unique sites:
Nd 0.1850 0.0000 0.0000 x4  2 Nb 3.11, 6 Nd 3.23-3.24
Sc 0.0000 0.0000 0.3265 x2  6 Sc 3.23-3.24, 6 Nd 3.49-3.53
Sc 0.5000 0.0000 0.1643 x2  6 Nb 3.05-3.08, 6 Sc 3.23-3.24
Nb 0.3498 0.0000 0.5049 x4  3 Sc 3.05-3.08, 2 Nd 3.11, 6 Nb 3.23-3.24

***

Record 3
## NdThScNb (PBE-GGA)

Data for an optimized crystal structure of NdThScNb.

**Formation energy**: 0.96 eV/f.u.

Lattice parameters (Å, degrees): 7.4863 7.4863 7.4863 90.00 90.00 90.00
Closest atoms and distances in Å follow each position.
Space group F-43m (No. 216)
Unique sites:
Nd 0.0000 0.0000 0.0000 x4  4 Nb 3.24, 4 Sc 3.24
Th 0.0000 0.0000 0.5000 x4  4 Sc 3.24, 4 Nb 3.24
Sc 0.2500 0.2500 0.2500 x4  4 Th 3.24, 4 Nd 3.24
Nb 0.2500 0.2500 0.7500 x4  4 Th 3.24, 4 Nd 3.24

***

Record 4
## NdNbSe3 (PBE-GGA)

Data for an optimized crystal structure of NdNbSe3.

**Uncorrected formation energy**: -1.327 eV per atom

Lattice parameters (Å, degrees): 14.9018 3.7750 8.5126 90.00 92.56 90.00
Closest atoms and distances in Å follow each position.
Space group C2/m (No. 12)
Unique sites:
Nd 0.1034 0.0000 0.3969 x4  8 Se 2.98-3.13
Nb 0.2064 0.5000 0.8788 x4  6 Se 2.61-2.81
Se 0.0549 0.5000 0.6705 x4  1 Nb 2.81, 4 Nd 3.06-3.11
Se 0.1234 0.0000 0.0319 x4  3 Nb 2.61-2.63
Se 0.2478 0.0000 0.6659 x4  2 Nb 2.71, 2 Nd 2.98